Computed, not measured: an optimized crystal structure of Dy2Y2Er2TmNi2Te2 at the PBE level of DFT.

Geometry as POSCAR:
```
Dy2Y2Er2TmNi2Te2
1.0
7.6848 -2.8736 4.4354
-7.5754 1.9899 5.0637
5.5625 -5.2437 -5.3432
Dy Y Ni Te Er Tm
2 2 2 2 2 1
direct
0.4123 0.0968 0.3155
0.7813 0.0968 0.6845
0.3919 0.7459 0.6460
0.0998 0.7459 0.3540
0.6449 0.4057 0.2391
0.1666 0.4057 0.7609
0.1404 0.1404 0.0000
0.7419 0.2419 0.5000
0.7627 0.8949 0.8678
0.0271 0.8949 0.1322
0.4773 0.4773 0.0000
```

Space group = Imm2, No. 44
Magnetization = 0.01 Bohr magnetons per cell
Total DFT energy (no corrections) = -5.50 eV per atom
Distance to the lowest polymorph of the same formula = 0.0047 eV per atom